1.
{"formula": "CeHoTmPb", "functional": "PBE", "state": "optimized geometry", "lattice": [[7.646, 0.000, 0.000], [0.000, 7.646, 0.000], [0.000, 0.000, 7.646]], "species": ["Ce", "Ce", "Ce", "Ce", "Ho", "Ho", "Ho", "Ho", "Tm", "Tm", "Tm", "Tm", "Pb", "Pb", "Pb", "Pb"], "fractional_positions": [[0.000, 0.000, 0.000], [0.000, 0.500, 0.500], [0.500, 0.000, 0.500], [0.500, 0.500, 0.000], [0.250, 0.250, 0.250], [0.250, 0.750, 0.750], [0.750, 0.250, 0.750], [0.750, 0.750, 0.250], [0.250, 0.250, 0.750], [0.250, 0.750, 0.250], [0.750, 0.250, 0.250], [0.750, 0.750, 0.750], [0.000, 0.000, 0.500], [0.000, 0.500, 0.000], [0.500, 0.000, 0.000], [0.500, 0.500, 0.500]], "spacegroup": "F-43m, No. 216", "ef_ev_per_fu": -0.121}

---

2.
{"formula": "HgTe2F8", "functional": "PBE", "state": "optimized geometry", "lattice": [[6.890, -2.451, 0.000], [6.890, 2.451, 0.000], [-3.845, 0.000, 6.620]], "species": ["Hg", "Te", "Te", "F", "F", "F", "F", "F", "F", "F", "F"], "fractional_positions": [[0.000, 0.000, 0.000], [0.168, 0.168, 0.753], [0.832, 0.832, 0.247], [0.136, 0.632, 0.464], [0.289, 0.289, 0.097], [0.309, 0.309, 0.771], [0.368, 0.864, 0.536], [0.632, 0.136, 0.464], [0.691, 0.691, 0.229], [0.711, 0.711, 0.903], [0.864, 0.368, 0.536]], "spacegroup": "C2/m, No. 12"}

---

3.
{"formula": "Li2LaNdTl4", "functional": "PBE", "state": "optimized geometry", "lattice": [[2.663, 1.537, 8.692], [-2.663, 1.537, 8.692], [0.000, -3.075, 8.692]], "species": ["Li", "Li", "La", "Nd", "Tl", "Tl", "Tl", "Tl"], "fractional_positions": [[0.249, 0.249, 0.249], [0.751, 0.751, 0.751], [0.000, 0.000, 0.000], [0.500, 0.500, 0.500], [0.126, 0.126, 0.126], [0.376, 0.376, 0.376], [0.624, 0.624, 0.624], [0.874, 0.874, 0.874]], "spacegroup": "R-3m, No. 166", "ef_ev_per_fu": -2.790}

---

4.
{"formula": "Ti2In2Pd3", "functional": "PBE", "state": "optimized geometry", "lattice": [[7.796, 0.000, 0.000], [0.000, 4.519, 0.000], [-2.558, 0.000, 7.308]], "species": ["Ti", "Ti", "Ti", "Ti", "In", "In", "In", "In", "Pd", "Pd", "Pd", "Pd", "Pd", "Pd"], "fractional_positions": [[0.120, 0.000, 0.359], [0.380, 0.500, 0.641], [0.620, 0.500, 0.359], [0.880, 0.000, 0.641], [0.130, 0.500, 0.890], [0.370, 0.000, 0.110], [0.630, 0.000, 0.890], [0.870, 0.500, 0.110], [0.000, 0.500, 0.500], [0.239, 0.000, 0.716], [0.261, 0.500, 0.284], [0.500, 0.000, 0.500], [0.739, 0.500, 0.716], [0.761, 0.000, 0.284]], "spacegroup": "C2/m, No. 12", "ef_ev_per_fu": -3.048}

---

5.
{"formula": "YSe2", "functional": "PBE", "state": "optimized geometry", "lattice": [[6.866, 0.000, 0.000], [0.000, 6.866, 0.000], [0.000, 0.000, 6.866]], "species": ["Y", "Y", "Y", "Y", "Se", "Se", "Se", "Se", "Se", "Se", "Se", "Se"], "fractional_positions": [[0.000, 0.000, 0.000], [0.000, 0.500, 0.500], [0.500, 0.000, 0.500], [0.500, 0.500, 0.000], [0.250, 0.250, 0.250], [0.250, 0.250, 0.750], [0.250, 0.750, 0.250], [0.250, 0.750, 0.750], [0.750, 0.250, 0.250], [0.750, 0.250, 0.750], [0.750, 0.750, 0.250], [0.750, 0.750, 0.750]], "spacegroup": "Fm-3m, No. 225"}

---

6.
{"formula": "CdPd3Se", "functional": "PBE", "state": "optimized geometry", "lattice": [[4.949, 0.000, 0.000], [0.000, 4.949, 0.000], [0.000, 0.000, 4.949]], "species": ["Cd", "Pd", "Pd", "Pd", "Se"], "fractional_positions": [[0.000, 0.000, 0.000], [0.000, 0.000, 0.500], [0.000, 0.500, 0.000], [0.500, 0.000, 0.000], [0.500, 0.500, 0.500]], "spacegroup": "Pm-3m, No. 221", "de_polymorph_ev_per_atom": 0.887}

---

Number 1: VASP energy -75.248 eV/cell, volume 27.94 Å³/atom. Number 2: VASP energy -41.306 eV/cell, volume 20.33 Å³/atom. Number 3: VASP energy -25.778 eV/cell, volume 26.69 Å³/atom. Number 4: VASP energy -79.787 eV/cell, volume 18.39 Å³/atom. Number 5: VASP energy -69.709 eV/cell, volume 26.97 Å³/atom. Number 6: VASP energy -15.542 eV/cell, volume 24.24 Å³/atom.